Record 1
A relaxed structure of BaGaN2, computed with PBEsol.

Density of states at the Fermi level ... 3.2 states/eV/f.u.
E_form (uncorrected) ... 675.8 meV/atom
Crystal system ... trigonal

```
data_BaGaN2
_chemical_formula_sum 'Ba3 Ga3 N6'
_space_group_name_H-M_alt 'R -3 m'
_space_group_IT_number 166
_space_group_name_Hall '-R 3 2"'
_cell_length_a 3.3458
_cell_length_b 3.3458
_cell_length_c 19.7809
_cell_angle_alpha 90.00
_cell_angle_beta 90.00
_cell_angle_gamma 120.00
loop_
_atom_site_label
_atom_site_type_symbol
_atom_site_fract_x
_atom_site_fract_y
_atom_site_fract_z
_atom_site_occupancy
Ba1 Ba 0.0000 0.0000 0.0000 1
Ga1 Ga 0.0000 0.0000 0.5000 1
N1 N 0.0000 0.0000 0.1198 1
```

---

Record 2
A relaxed structure of Cu2SnTe3, computed with PBEsol.

Density of states at the Fermi level ... 0.7 states/eV/f.u.
E_form (uncorrected) ... -89.0 meV/atom
Crystal system ... orthorhombic

```
data_Cu2SnTe3
_chemical_formula_sum 'Cu4 Sn2 Te6'
_space_group_name_H-M_alt 'I m m 2'
_space_group_IT_number 44
_cell_length_a 4.325
_cell_length_b 12.876
_cell_length_c 6.017
_cell_angle_alpha 90.00
_cell_angle_beta 90.00
_cell_angle_gamma 90.00
loop_
_space_group_symop_operation_xyz
'x,y,z'
'-x,-y,z'
'-x,y,z'
'x,-y,z'
'x+1/2,y+1/2,z+1/2'
'-x+1/2,-y+1/2,z+1/2'
'-x+1/2,y+1/2,z+1/2'
'x+1/2,-y+1/2,z+1/2'
loop_
_atom_site_label
_atom_site_type_symbol
_atom_site_fract_x
_atom_site_fract_y
_atom_site_fract_z
_atom_site_occupancy
Cu1 Cu 0.000 0.170 0.000 1
Sn1 Sn 0.000 0.500 0.026 1
Te1 Te 0.000 0.000 0.216 1
Te2 Te 0.000 0.319 0.279 1
```

---

Q: What is the density of states at the Fermi level in the second record?
A: 0.7 states/eV/f.u.